Below is a geometry-optimized CdSn3Bi structure, with properties calculated at the PBE level.

Output
Its crystal system is cubic. For the volume, the calculation gives 167 Å³/f.u. For the density of states at the Fermi level, the calculation gives 2.5 states/eV/f.u. The value obtained for the energy above the most stable polymorph in this dataset is 0 meV per atom. The value obtained for the formation energy is 475.8 meV per atom. The total moment comes out at 0.000 Bohr magnetons per cell. The calculated total energy comes out at -14.4 eV/cell. Its space group is Pm-3m (221).

Structure (POSCAR):
```
CdSn3Bi
1.0
5.506 0.000 0.000
0.000 5.506 0.000
0.000 0.000 5.506
Cd Sn Bi
1 3 1
Cartesian
0.000 0.000 0.000
0.000 0.000 2.753
0.000 2.753 0.000
2.753 0.000 0.000
2.753 2.753 2.753
```


Below is a geometry-optimized CdSnBi2 structure, with properties calculated at the PBE level.

Output
Its crystal system is tetragonal. For the volume, the calculation gives 116 Å³/f.u. For the density of states at the Fermi level, the calculation gives 3.0 states/eV/f.u. The value obtained for the formation energy is 102.7 meV per atom. The total moment comes out at 0.000 Bohr magnetons per cell. The calculated total energy comes out at -12.3 eV/cell. Its space group is P4/mmm (123).

Structure (POSCAR):
```
CdSnBi2
1.0
4.036 0.000 0.000
0.000 4.036 0.000
0.000 0.000 7.141
Cd Sn Bi
1 1 2
Cartesian
0.000 0.000 0.000
0.000 0.000 3.570
2.018 2.018 1.720
2.018 2.018 5.421
```


Below is a geometry-optimized CdSn3Bi structure, with properties calculated at the PBE level.

Output
Its crystal system is cubic. For the volume, the calculation gives 209 Å³/f.u. For the density of states at the Fermi level, the calculation gives 4.1 states/eV/f.u. The value obtained for the energy above the most stable polymorph in this dataset is 269 meV per atom. The value obtained for the formation energy is 745.1 meV per atom. The total moment comes out at 0.000 Bohr magnetons per cell. The calculated total energy comes out at -13.1 eV/cell. Its space group is Pm-3m (221).

Structure (POSCAR):
```
CdSn3Bi
1.0
5.938 0.000 0.000
0.000 5.938 0.000
0.000 0.000 5.938
Cd Sn Bi
1 3 1
Cartesian
0.000 0.000 0.000
0.000 2.969 2.969
2.969 0.000 2.969
2.969 2.969 0.000
2.969 2.969 2.969
```


Below is a geometry-optimized CdSn4Bi structure, with properties calculated at the PBE level.

Output
Its crystal system is cubic. For the volume, the calculation gives 175 Å³/f.u. For the density of states at the Fermi level, the calculation gives 3.0 states/eV/f.u. The value obtained for the formation energy is 198.0 meV per atom. The total moment comes out at 0.000 Bohr magnetons per cell. The calculated total energy comes out at -19.6 eV/cell. Its space group is F-43m (216).

Structure (POSCAR):
```
CdSn4Bi
1.0
0.000 4.440 4.440
4.440 0.000 4.440
4.440 4.440 0.000
Cd Sn Bi
1 4 1
Cartesian
0.000 0.000 0.000
3.326 3.326 3.326
5.554 5.554 3.326
5.554 3.326 5.554
3.326 5.554 5.554
6.660 6.660 6.660
```


Below is a geometry-optimized Cd4SnBi structure, with properties calculated at the PBE level.

Output
Its crystal system is monoclinic. For the volume, the calculation gives 157 Å³/f.u. For the density of states at the Fermi level, the calculation gives 1.9 states/eV/f.u. The value obtained for the energy above the most stable polymorph in this dataset is 0 meV per atom. The value obtained for the formation energy is 63.4 meV per atom. The total moment comes out at 0.000 Bohr magnetons per cell. The calculated total energy comes out at -11.2 eV/cell. Its space group is Cm (8).

Structure (POSCAR):
```
Cd4SnBi
1.0
7.825 -2.927 0.000
7.825 2.927 0.000
-0.779 0.000 3.418
Cd Sn Bi
4 1 1
Cartesian
0.000 0.000 0.000
4.475 1.473 2.837
1.957 0.000 2.250
4.475 -1.473 2.837
10.463 0.000 0.607
7.178 0.000 1.647
```


Below is a geometry-optimized Cd3SnBi structure, with properties calculated at the PBE level.

Output
Its crystal system is cubic. For the volume, the calculation gives 168 Å³/f.u. For the density of states at the Fermi level, the calculation gives 4.0 states/eV/f.u. The value obtained for the energy above the most stable polymorph in this dataset is 353 meV per atom. The value obtained for the formation energy is 447.6 meV per atom. The total moment comes out at 1.160 Bohr magnetons per cell. The calculated total energy comes out at -8.4 eV/cell. Its space group is Pm-3m (221).

Structure (POSCAR):
```
Cd3SnBi
1.0
5.519 0.000 0.000
0.000 5.519 0.000
0.000 0.000 5.519
Cd Sn Bi
3 1 1
Cartesian
0.000 0.000 2.759
0.000 2.759 0.000
2.759 0.000 0.000
0.000 0.000 0.000
2.759 2.759 2.759
```